Arrangement i

DFT (PBE-GGA) results for a relaxed structure of ScCuBOs.

Spin magnetization   0.008 μB per formula unit

Lattice parameters (Å, degrees): 6.0273 6.0273 6.0273 90.00 90.00 90.00
With the nearest neighbours (Å) after each atom.
Space group F-43m (No. 216)
Symmetry-distinct sites (fractional):
Sc 0.0000 0.0000 0.0000  4 B 2.61, 4 Os 2.61
Cu 0.0000 0.0000 0.5000  4 Os 2.61, 4 B 2.61
B 0.2500 0.2500 0.2500  4 Cu 2.61, 4 Sc 2.61
Os 0.2500 0.2500 0.7500  4 Sc 2.61, 4 Cu 2.61

---

Arrangement ii

DFT (PBE-GGA) results for a relaxed structure of ScCuBOs.

Spin magnetization   0.002 μB per formula unit

Lattice parameters (Å, degrees): 5.9502 5.9502 5.9502 90.00 90.00 90.00
With the nearest neighbours (Å) after each atom.
Space group F-43m (No. 216)
Symmetry-distinct sites (fractional):
Sc 0.0000 0.0000 0.0000  4 Os 2.58, 4 Cu 2.58
Cu 0.2500 0.2500 0.7500  4 Sc 2.58, 4 B 2.58
B 0.0000 0.0000 0.5000  4 Os 2.58, 4 Cu 2.58
Os 0.2500 0.2500 0.2500  4 Sc 2.58, 4 B 2.58

---

The least stable of them is arrangement i.

---

Arrangement i

DFT (PBE-GGA) results for a relaxed structure of PaCuB.

Spin magnetization   0.020 μB per formula unit

Lattice parameters (Å, degrees): 5.9266 5.9266 5.9266 90.00 90.00 90.00
With the nearest neighbours (Å) after each atom.
Space group F-43m (No. 216)
Symmetry-distinct sites (fractional):
Pa 0.0000 0.0000 0.0000  4 Cu 2.57
Cu 0.2500 0.2500 0.7500  4 Pa 2.57, 4 B 2.57
B 0.0000 0.0000 0.5000  4 Cu 2.57

---

Arrangement ii

DFT (PBE-GGA) results for a relaxed structure of PaCuB.

Spin magnetization   0.501 μB per formula unit

Lattice parameters (Å, degrees): 6.1441 6.1441 6.1441 90.00 90.00 90.00
With the nearest neighbours (Å) after each atom.
Space group F-43m (No. 216)
Symmetry-distinct sites (fractional):
Pa 0.0000 0.0000 0.0000  4 Cu 2.66, 4 B 2.66
Cu 0.2500 0.2500 0.2500  4 Pa 2.66
B 0.2500 0.2500 0.7500  4 Pa 2.66

---

Arrangement iii

DFT (PBE-GGA) results for a relaxed structure of PaCuB.

Spin magnetization   0.725 μB per formula unit

Lattice parameters (Å, degrees): 5.8443 5.8443 5.8443 90.00 90.00 90.00
With the nearest neighbours (Å) after each atom.
Space group F-43m (No. 216)
Symmetry-distinct sites (fractional):
Pa 0.0000 0.0000 0.0000  4 B 2.53
Cu 0.0000 0.0000 0.5000  4 B 2.53
B 0.2500 0.2500 0.7500  4 Pa 2.53, 4 Cu 2.53

---

The least stable of them is arrangement ii.

---

Arrangement i

DFT (PBE-GGA) results for a relaxed structure of CuB4Pb.

Lattice parameters (Å, degrees): 3.0458 5.3407 8.4551 90.00 90.00 90.00
With the nearest neighbours (Å) after each atom.
Space group Immm (No. 71)
Symmetry-distinct sites (fractional):
Cu 0.0000 0.0000 0.0000  12 B 2.68-2.84
B 0.0000 0.3374 0.2595  3 B 1.74-1.79
Pb 0.0000 0.0000 0.5000  12 B 2.72-2.81

---

Arrangement ii

DFT (PBE-GGA) results for a relaxed structure of CuB4Pb.

Lattice parameters (Å, degrees): 3.0734 3.0734 8.3410 90.00 90.00 120.00
With the nearest neighbours (Å) after each atom.
Space group P6/mmm (No. 191)
Symmetry-distinct sites (fractional):
Cu 0.0000 0.0000 0.0000  12 B 2.37
B 0.3333 0.6667 0.1883  3 B 1.77
Pb 0.0000 0.0000 0.5000  6 Pb 3.07, 12 B 3.15

---

The least stable of them is arrangement i.

---

Arrangement i

DFT (PBE-GGA) results for a relaxed structure of ScCuBPd.

Spin magnetization   0.000 μB per formula unit

Lattice parameters (Å, degrees): 5.9769 5.9769 5.9769 90.00 90.00 90.00
With the nearest neighbours (Å) after each atom.
Space group F-43m (No. 216)
Symmetry-distinct sites (fractional):
Sc 0.0000 0.0000 0.0000  4 Cu 2.59, 4 Pd 2.59
Cu 0.2500 0.2500 0.7500  4 Sc 2.59, 4 B 2.59
B 0.0000 0.0000 0.5000  4 Cu 2.59, 4 Pd 2.59
Pd 0.2500 0.2500 0.2500  4 Sc 2.59, 4 B 2.59

---

Arrangement ii

DFT (PBE-GGA) results for a relaxed structure of ScCuBPd.

Spin magnetization   0.002 μB per formula unit

Lattice parameters (Å, degrees): 6.0545 6.0545 6.0545 90.00 90.00 90.00
With the nearest neighbours (Å) after each atom.
Space group F-43m (No. 216)
Symmetry-distinct sites (fractional):
Sc 0.0000 0.0000 0.0000  4 B 2.62, 4 Pd 2.62
Cu 0.0000 0.0000 0.5000  4 Pd 2.62, 4 B 2.62
B 0.2500 0.2500 0.2500  4 Sc 2.62, 4 Cu 2.62
Pd 0.2500 0.2500 0.7500  4 Sc 2.62, 4 Cu 2.62

---

The least stable of them is arrangement i.

---

Arrangement i

DFT (PBE-GGA) results for a relaxed structure of TaCuBPd.

Spin magnetization   0.001 μB per formula unit

Lattice parameters (Å, degrees): 5.9707 5.9707 5.9707 90.00 90.00 90.00
With the nearest neighbours (Å) after each atom.
Space group F-43m (No. 216)
Symmetry-distinct sites (fractional):
Ta 0.0000 0.0000 0.0000  4 Cu 2.59, 4 Pd 2.59
Cu 0.2500 0.2500 0.7500  4 Ta 2.59, 4 B 2.59
B 0.0000 0.0000 0.5000  4 Cu 2.59, 4 Pd 2.59
Pd 0.2500 0.2500 0.2500  4 Ta 2.59, 4 B 2.59

---

Arrangement ii

DFT (PBE-GGA) results for a relaxed structure of TaCuBPd.

Spin magnetization   0.000 μB per formula unit

Lattice parameters (Å, degrees): 5.9540 5.9540 5.9540 90.00 90.00 90.00
With the nearest neighbours (Å) after each atom.
Space group F-43m (No. 216)
Symmetry-distinct sites (fractional):
Ta 0.0000 0.0000 0.0000  4 B 2.58, 4 Pd 2.58
Cu 0.0000 0.0000 0.5000  4 B 2.58, 4 Pd 2.58
B 0.2500 0.2500 0.2500  4 Ta 2.58, 4 Cu 2.58
Pd 0.2500 0.2500 0.7500  4 Ta 2.58, 4 Cu 2.58

---

The least stable of them is arrangement i.

---

Arrangement i

DFT (PBE-GGA) results for a relaxed structure of CuBPdW.

Spin magnetization   0.322 μB per formula unit

Lattice parameters (Å, degrees): 5.9182 5.9182 5.9182 90.00 90.00 90.00
With the nearest neighbours (Å) after each atom.
Space group F-43m (No. 216)
Symmetry-distinct sites (fractional):
Cu 0.0000 0.0000 0.0000  4 W 2.56, 4 B 2.56
B 0.2500 0.2500 0.7500  4 Cu 2.56, 4 Pd 2.56
Pd 0.0000 0.0000 0.5000  4 W 2.56, 4 B 2.56
W 0.2500 0.2500 0.2500  4 Cu 2.56, 4 Pd 2.56

---

Arrangement ii

DFT (PBE-GGA) results for a relaxed structure of CuBPdW.

Spin magnetization   0.018 μB per formula unit

Lattice parameters (Å, degrees): 5.8835 5.8835 5.8835 90.00 90.00 90.00
With the nearest neighbours (Å) after each atom.
Space group F-43m (No. 216)
Symmetry-distinct sites (fractional):
Cu 0.0000 0.0000 0.0000  4 Pd 2.55, 4 B 2.55
B 0.2500 0.2500 0.7500  4 W 2.55, 4 Cu 2.55
Pd 0.2500 0.2500 0.2500  4 W 2.55, 4 Cu 2.55
W 0.0000 0.0000 0.5000  4 B 2.55, 4 Pd 2.55

---

The least stable of them is arrangement i.

---

Arrangement i

DFT (PBE-GGA) results for a relaxed structure of PmCuB.

Spin magnetization   0.000 μB per formula unit

Lattice parameters (Å, degrees): 6.2672 6.2672 6.2672 90.00 90.00 90.00
With the nearest neighbours (Å) after each atom.
Space group F-43m (No. 216)
Symmetry-distinct sites (fractional):
Pm 0.0000 0.0000 0.0000  4 B 2.71, 4 Cu 2.71
Cu 0.2500 0.2500 0.2500  4 Pm 2.71
B 0.2500 0.2500 0.7500  4 Pm 2.71

---

Arrangement ii

DFT (PBE-GGA) results for a relaxed structure of PmCuB.

Spin magnetization   0.173 μB per formula unit

Lattice parameters (Å, degrees): 5.9609 5.9609 5.9609 90.00 90.00 90.00
With the nearest neighbours (Å) after each atom.
Space group F-43m (No. 216)
Symmetry-distinct sites (fractional):
Pm 0.0000 0.0000 0.0000  4 B 2.58
Cu 0.0000 0.0000 0.5000  4 B 2.58
B 0.2500 0.2500 0.7500  4 Pm 2.58, 4 Cu 2.58

---

The least stable of them is arrangement i.

---

Arrangement i

DFT (PBE-GGA) results for a relaxed structure of CuB4Pt.

Spin magnetization   0.001 μB per formula unit

Lattice parameters (Å, degrees): 3.0267 3.0267 7.0140 90.00 90.00 120.00
With the nearest neighbours (Å) after each atom.
Space group P6/mmm (No. 191)
Symmetry-distinct sites (fractional):
Cu 0.0000 0.0000 0.0000  12 B 2.43
B 0.3333 0.6667 0.2406  3 B 1.75
Pt 0.0000 0.0000 0.5000  12 B 2.52

---

Arrangement ii

DFT (PBE-GGA) results for a relaxed structure of CuB4Pt.

Spin magnetization   0.000 μB per formula unit

Lattice parameters (Å, degrees): 2.9677 5.2548 7.0478 90.00 90.00 90.00
With the nearest neighbours (Å) after each atom.
Space group Immm (No. 71)
Symmetry-distinct sites (fractional):
Cu 0.0000 0.0000 0.0000  12 B 2.38-2.58
B 0.0000 0.3394 0.2655  3 B 1.69-1.77
Pt 0.0000 0.0000 0.5000  12 B 2.43-2.53

---

The least stable of them is arrangement i.